Material: YAsPd6
Method: DFT, GGA-PBE
State: optimized geometry

**Total moment**: 0.00 μB per cell
**Energy of formation**: -0.33 eV per atom
**SG**: R-3m
**DFT total energy**: -5.6157 eV/atom

Lattice parameters (Å, degrees): 6.963 6.963 6.963 46.80 46.80 46.80
Fractional positions:
Y1 0.000 0.000 0.000
As1 0.500 0.500 0.500
Pd1 0.063 0.577 0.577
Pd2 0.423 0.423 0.937
Pd3 0.423 0.937 0.423
Pd4 0.577 0.063 0.577
Pd5 0.577 0.577 0.063
Pd6 0.937 0.423 0.423

Material: Y2AsPd2
Method: DFT, GGA-PBE
State: optimized geometry

**Total moment**: 0.00 μB per cell
**Energy of formation**: -0.90 eV per atom
**SG**: P4/mbm
**DFT total energy**: -6.4918 eV/atom

Lattice parameters (Å, degrees): 7.327 7.327 3.962 90.00 90.00 90.00
Fractional positions:
Y1 0.177 0.323 0.000
Y2 0.323 0.823 0.000
Y3 0.677 0.177 0.000
Y4 0.823 0.677 0.000
As1 0.000 0.000 0.500
As2 0.500 0.500 0.500
Pd1 0.130 0.630 0.500
Pd2 0.370 0.130 0.500
Pd3 0.630 0.870 0.500
Pd4 0.870 0.370 0.500

Material: YAs6Pd12
Method: DFT, GGA-PBE
State: optimized geometry

**Total moment**: 0.00 μB per cell
**Energy of formation**: -0.35 eV per atom
**SG**: R-3m
**DFT total energy**: -5.4414 eV/atom

Lattice parameters (Å, degrees): 7.313 7.313 7.313 105.50 105.50 105.50
Fractional positions:
Y1 0.000 0.000 0.000
As1 0.253 0.253 0.671
As2 0.253 0.671 0.253
As3 0.329 0.747 0.747
As4 0.671 0.253 0.253
As5 0.747 0.329 0.747
As6 0.747 0.747 0.329
Pd1 0.126 0.500 0.874
Pd2 0.126 0.874 0.500
Pd3 0.139 0.384 0.384
Pd4 0.384 0.139 0.384
Pd5 0.384 0.384 0.139
Pd6 0.500 0.126 0.874
Pd7 0.500 0.874 0.126
Pd8 0.616 0.616 0.861
Pd9 0.616 0.861 0.616
Pd10 0.861 0.616 0.616
Pd11 0.874 0.126 0.500
Pd12 0.874 0.500 0.126

Material: YAs3Pd3
Method: DFT, GGA-PBE
State: optimized geometry

**Total moment**: 0.00 μB per cell
**Energy of formation**: -0.24 eV per atom
**SG**: Pm-3n
**DFT total energy**: -5.3810 eV/atom

Lattice parameters (Å, degrees): 6.823 6.823 6.823 90.00 90.00 90.00
Fractional positions:
Y1 0.000 0.000 0.000
Y2 0.500 0.500 0.500
As1 0.000 0.250 0.500
As2 0.000 0.750 0.500
As3 0.250 0.500 0.000
As4 0.500 0.000 0.250
As5 0.500 0.000 0.750
As6 0.750 0.500 0.000
Pd1 0.000 0.500 0.250
Pd2 0.000 0.500 0.750
Pd3 0.250 0.000 0.500
Pd4 0.500 0.250 0.000
Pd5 0.500 0.750 0.000
Pd6 0.750 0.000 0.500